No. 1
A geometry-optimized Dy2TeS structure, computed with PBE.

Offset from the most stable computed form (eV per formula unit): 0.095
Crystal system: trigonal

a b c (Å): 4.0848 4.0848 20.7457
angles (deg): 90.00 90.00 120.00
Last column: nearest neighbours and their distance in Å.
Space group R-3m (No. 166, hexagonal axes)
Inequivalent atoms, fractional coordinates:
1 Dy 0.0000 0.0000 0.2339 [6 per cell]  3 S 2.74
2 Te 0.0000 0.0000 0.0000 [3 per cell]  6 Dy 3.13
3 S 0.0000 0.0000 0.5000 [3 per cell]  6 Dy 2.74

No. 2
A geometry-optimized DyTeS2 structure, computed with PBE.

Crystal system: trigonal

a b c (Å): 3.9886 3.9886 24.7469
angles (deg): 90.00 90.00 120.00
Last column: nearest neighbours and their distance in Å.
Space group R-3m (No. 166, hexagonal axes)
Inequivalent atoms, fractional coordinates:
1 Dy 0.0000 0.0000 0.0000 [3 per cell]  6 S 2.73
2 Te 0.0000 0.0000 0.5000 [3 per cell]  2 S 2.66
3 S 0.0000 0.0000 0.3926 [6 per cell]  1 Te 2.66, 3 Dy 2.73

No. 3
A geometry-optimized Dy6Te5S structure, computed with PBE.

Crystal system: monoclinic

a b c (Å): 7.4616 12.8969 7.3907
angles (deg): 90.00 109.34 90.00
Last column: nearest neighbours and their distance in Å.
Space group C2/m (No. 12)
Inequivalent atoms, fractional coordinates:
1 Dy 0.2113 0.0000 0.2673 [4 per cell]  1 S 2.69
2 Dy 0.2176 0.1463 0.7205 [8 per cell]  1 S 2.66
3 Te 0.0000 0.1789 0.0000 [4 per cell]  6 Dy 3.05-3.30
4 Te 0.0000 0.3364 0.5000 [4 per cell]  6 Dy 3.07-3.10
5 Te 0.0000 0.5000 0.0000 [2 per cell]  6 Dy 3.06-3.37
6 S 0.0000 0.0000 0.5000 [2 per cell]  6 Dy 2.66-2.69

No. 4
A geometry-optimized Dy3Te2S structure, computed with PBE.

Offset from the most stable computed form (eV per formula unit): 0.164
Crystal system: monoclinic

a b c (Å): 7.4660 12.6518 7.1345
angles (deg): 90.00 109.75 90.00
Last column: nearest neighbours and their distance in Å.
Space group C2/c (No. 15)
Inequivalent atoms, fractional coordinates:
1 Dy 0.1938 0.0699 0.4842 [8 per cell]  2 S 2.77, 2 Te 3.05-3.09
2 Dy 0.2500 0.2500 0.0000 [4 per cell]  2 S 2.86, 4 Te 2.99-3.04
3 Te 0.0000 0.2681 0.2500 [4 per cell]  6 Dy 2.99-3.18
4 Te 0.0000 0.4239 0.7500 [4 per cell]  6 Dy 3.04-3.26
5 S 0.0000 0.0966 0.7500 [4 per cell]  6 Dy 2.77-2.86

Number 1: uncorrected formation energy -1.659 eV per atom, E_tot -5.777 eV per atom. Number 2: uncorrected formation energy -1.131 eV per atom, E_tot -5.131 eV per atom. Number 3: uncorrected formation energy -1.422 eV per atom, E_tot -5.376 eV per atom. Number 4: uncorrected formation energy -1.492 eV per atom, E_tot -5.528 eV per atom.